Density functional theory data (GGA-PBE) for a relaxed structure of MnFeI2.

The structure in CIF format:
```
data_MnFeI2
_chemical_formula_sum 'Mn4 Fe4 I8'
_space_group_name_H-M_alt 'F m -3 m'
_space_group_IT_number 225
_space_group_name_Hall '-F 4 2 3'
_cell_length_a 7.159
_cell_length_b 7.159
_cell_length_c 7.159
_cell_angle_alpha 90.00
_cell_angle_beta 90.00
_cell_angle_gamma 90.00
loop_
_atom_site_label
_atom_site_fract_x
_atom_site_fract_y
_atom_site_fract_z
_atom_site_occupancy
Mn1 0.000 0.000 0.000 1
Fe1 0.000 0.000 0.500 1
I1 0.250 0.250 0.250 1
```

Properties
Spin magnetization, μB per atom: 0.322
ΔE_f (raw), eV per atom: 0.713
Fermi-level density of states, states/eV/atom: 0.700